VASP calculation (PBE-GGA) on a geometry-optimized CsTlTcI6 structure.

Cell and atoms, written as POSCAR:
```
CsTlTcI6
1.0
8.399 0.000 0.000
-4.200 7.274 0.000
0.000 0.000 7.795
Cs Tl Tc I
1 1 1 6
Direct
0.000 0.000 0.000 Cs
0.333 0.667 0.500 Tl
0.667 0.333 0.500 Tc
0.404 0.064 0.706 I
0.404 0.340 0.294 I
0.660 0.064 0.294 I
0.660 0.596 0.706 I
0.936 0.340 0.706 I
0.936 0.596 0.294 I
```

E_tot = -0.112 hartree per atom
formation energy (no corrections) = -4.6 eV/f.u.